1.
# NaPrAsO

NaPrAsO after structural relaxation (PBE, the Open Quantum Materials Database).

Unit cell a=3.6782 b=8.6019 c=6.1395 alpha=90.00 beta=90.00 gamma=90.00
Fractional positions:
Na 0.0000 0.0793 0.0000
Na 0.0000 0.9207 0.5000
Pr 0.5000 0.3089 0.3952
Pr 0.5000 0.6911 0.8952
As 0.5000 0.3400 0.8884
As 0.5000 0.6600 0.3884
O 0.0000 0.1629 0.3623
O 0.0000 0.8371 0.8623

=====

2.
# NaPrAsO

NaPrAsO after structural relaxation (PBE, the Open Quantum Materials Database).

Unit cell a=4.0475 b=4.0475 c=10.5529 alpha=90.00 beta=90.00 gamma=90.00
Fractional positions:
Na 0.2500 0.7500 0.0000
Na 0.7500 0.2500 0.0000
Pr 0.2500 0.2500 0.3859
Pr 0.7500 0.7500 0.6141
As 0.2500 0.2500 0.7968
As 0.7500 0.7500 0.2032
O 0.2500 0.7500 0.5000
O 0.7500 0.2500 0.5000

=====

3.
# NaAsPtO

NaAsPtO after structural relaxation (PBE, the Open Quantum Materials Database).

Unit cell a=3.4168 b=6.9206 c=6.1002 alpha=90.00 beta=90.00 gamma=90.00
Fractional positions:
Na 0.0000 0.1166 0.0000
Na 0.0000 0.8834 0.5000
As 0.0000 0.3143 0.4513
As 0.0000 0.6857 0.9513
Pt 0.5000 0.4962 0.6786
Pt 0.5000 0.5038 0.1786
O 0.5000 0.3009 0.9303
O 0.5000 0.6991 0.4303

=====

4.
# NaAsPtO

NaAsPtO after structural relaxation (PBE, the Open Quantum Materials Database).

Unit cell a=3.7001 b=3.7001 c=8.9283 alpha=90.00 beta=90.00 gamma=90.00
Fractional positions:
Na 0.2500 0.7500 0.0000
Na 0.7500 0.2500 0.0000
As 0.2500 0.2500 0.2499
As 0.7500 0.7500 0.7501
Pt 0.2500 0.2500 0.6441
Pt 0.7500 0.7500 0.3559
O 0.2500 0.7500 0.5000
O 0.7500 0.2500 0.5000

=====

5.
# NaAsPtO

NaAsPtO after structural relaxation (PBE, the Open Quantum Materials Database).

Unit cell a=3.8610 b=5.8759 c=6.7529 alpha=90.00 beta=90.00 gamma=90.00
Fractional positions:
Na 0.0000 0.1129 0.0000
Na 0.0000 0.8871 0.5000
As 0.5000 0.3254 0.7137
As 0.5000 0.6746 0.2137
Pt 0.5000 0.2993 0.3554
Pt 0.5000 0.7007 0.8554
O 0.0000 0.2176 0.3190
O 0.0000 0.7824 0.8190

=====

6.
# NaAsPtO

NaAsPtO after structural relaxation (PBE, the Open Quantum Materials Database).

Unit cell a=4.0710 b=4.0710 c=6.7314 alpha=90.00 beta=90.00 gamma=90.00
Fractional positions:
Na 0.2500 0.2500 0.1513
Na 0.7500 0.7500 0.8487
As 0.2500 0.2500 0.7499
As 0.7500 0.7500 0.2501
Pt 0.2500 0.7500 0.5000
Pt 0.7500 0.2500 0.5000
O 0.2500 0.7500 0.0000
O 0.7500 0.2500 0.0000

=====

7.
# NaReAsO

NaReAsO after structural relaxation (PBE, the Open Quantum Materials Database).

Unit cell a=3.1265 b=7.2899 c=5.9008 alpha=90.00 beta=90.00 gamma=90.00
Fractional positions:
Na 0.0000 0.1069 0.0000
Na 0.0000 0.8931 0.5000
Re 0.5000 0.4937 0.7249
Re 0.5000 0.5063 0.2249
As 0.0000 0.2990 0.4789
As 0.0000 0.7010 0.9789
O 0.5000 0.3130 0.9805
O 0.5000 0.6870 0.4805

=====

8.
# NaReAsO

NaReAsO after structural relaxation (PBE, the Open Quantum Materials Database).

Unit cell a=3.8688 b=4.5669 c=7.1739 alpha=90.00 beta=90.00 gamma=90.00
Fractional positions:
Na 0.0000 0.2192 0.0000
Na 0.0000 0.7808 0.5000
Re 0.5000 0.2896 0.3431
Re 0.5000 0.7104 0.8431
As 0.5000 0.2084 0.6829
As 0.5000 0.7916 0.1829
O 0.0000 0.2954 0.3385
O 0.0000 0.7046 0.8385

=====

9.
# NaReAsO

NaReAsO after structural relaxation (PBE, the Open Quantum Materials Database).

Unit cell a=3.4522 b=3.4522 c=9.5528 alpha=90.00 beta=90.00 gamma=90.00
Fractional positions:
Na 0.2500 0.7500 0.0000
Na 0.7500 0.2500 0.0000
Re 0.2500 0.2500 0.3650
Re 0.7500 0.7500 0.6350
As 0.2500 0.2500 0.7622
As 0.7500 0.7500 0.2378
O 0.2500 0.7500 0.5000
O 0.7500 0.2500 0.5000

=====

10.
# NaReAsO

NaReAsO after structural relaxation (PBE, the Open Quantum Materials Database).

Unit cell a=3.7421 b=3.7421 c=9.5273 alpha=90.00 beta=90.00 gamma=90.00
Fractional positions:
Na 0.2500 0.2500 0.1267
Na 0.7500 0.7500 0.8733
Re 0.2500 0.7500 0.5000
Re 0.7500 0.2500 0.5000
As 0.2500 0.2500 0.6877
As 0.7500 0.7500 0.3123
O 0.2500 0.7500 0.0000
O 0.7500 0.2500 0.0000

=====

11.
# NaSmAsO

NaSmAsO after structural relaxation (PBE, the Open Quantum Materials Database).

Unit cell a=5.8502 b=5.8502 c=4.9946 alpha=90.00 beta=90.00 gamma=90.00
Fractional positions:
Na 0.2500 0.2500 0.0032
Na 0.7500 0.7500 0.9968
Sm 0.2500 0.7500 0.5000
Sm 0.7500 0.2500 0.5000
As 0.2500 0.2500 0.5033
As 0.7500 0.7500 0.4967
O 0.2500 0.7500 0.0000
O 0.7500 0.2500 0.0000

=====

12.
# NaSmAsO

NaSmAsO after structural relaxation (PBE, the Open Quantum Materials Database).

Unit cell a=3.9689 b=3.9689 c=10.4717 alpha=90.00 beta=90.00 gamma=90.00
Fractional positions:
Na 0.2500 0.7500 0.0000
Na 0.7500 0.2500 0.0000
Sm 0.2500 0.2500 0.3893
Sm 0.7500 0.7500 0.6107
As 0.2500 0.2500 0.7929
As 0.7500 0.7500 0.2071
O 0.2500 0.7500 0.5000
O 0.7500 0.2500 0.5000

=====

| no. | polymorph energy (0 for the lowest one) (meV/atom) |
| --- | --- |
| 1 | 121 |
| 2 | 0 |
| 3 | 0 |
| 4 | 811 |
| 5 | 208 |
| 6 | 151 |
| 7 | 0 |
| 8 | 68 |
| 9 | 676 |
| 10 | 589 |
| 11 | 511 |
| 12 | 0 |